[1]
Ho3Tm5Sc3: optimized geometry, PBE.

Unit cell a=5.4597 b=9.2357 c=9.2357 alpha=120.00 beta=90.00 gamma=90.00
With the nearest neighbours (Å) after each atom.
Element x y z (fractional)
Ho 0.0000 0.0000 0.5334  2 Sc 3.08, 2 Tm 3.35
Ho 0.0000 0.4666 0.4666  2 Sc 3.08, 2 Tm 3.35
Ho 0.0000 0.5334 0.0000  2 Sc 3.08, 2 Tm 3.35
Sc 0.5000 0.0000 0.3784  4 Tm 2.89-3.09, 2 Ho 3.08
Sc 0.5000 0.3784 0.0000  4 Tm 2.89-3.09, 2 Ho 3.08
Sc 0.5000 0.6216 0.6216  4 Tm 2.89-3.09, 2 Ho 3.08
Tm 0.5000 0.3333 0.6667  3 Sc 2.89
Tm 0.5000 0.7430 0.0000  3 Sc 3.09-3.37, 2 Ho 3.35
Tm 0.5000 0.6667 0.3333  3 Sc 2.89
Tm 0.5000 0.0000 0.7430  3 Sc 3.09-3.37, 2 Ho 3.35
Tm 0.5000 0.2570 0.2570  3 Sc 3.09-3.37, 2 Ho 3.35

As for the calculated total energy: -4.220 eV/atom. The value obtained for the magnetic moment is 0.002 μB per formula unit. Its formation energy from the elements is 76 kJ/mol of atoms.

[2]
ZrNiN2: optimized geometry, PBE.

Unit cell a=3.8470 b=3.8470 c=3.8470 alpha=60.00 beta=60.00 gamma=60.00
With the nearest neighbours (Å) after each atom.
Element x y z (fractional)
N 0.2500 0.2500 0.2500  4 Zr 2.36, 4 Ni 2.36
N 0.7500 0.7500 0.7500  4 Zr 2.36, 4 Ni 2.36
Ni 0.0000 0.0000 0.0000  8 N 2.36
Zr 0.5000 0.5000 0.5000  8 N 2.36

As for the calculated total energy: -7.823 eV/atom. The value obtained for the magnetic moment is 0.003 μB per formula unit.